# 1
The following is a PBE calculation of a geometry-optimized ZrFeRe2 structure, from Alexandria via LeMat-Bulk.

Properties
- formation enthalpy at 0 K (kJ/mol of formula units) = 24
- offset from the most stable computed form (eV/atom) = 0.082
- total DFT energy (no corrections) (eV/cell) = -41.655

abc: 5.2110 5.2110 4.5155
angles: 64.37 64.37 35.54
Closest atoms and distances in Å follow each position.
Element x y z (fractional)
1 Zr 0.5001 0.5001 0.5000  8 Re 2.76-3.09, 2 Fe 2.80
2 Fe 0.2601 0.2601 0.2397  6 Re 2.66-2.77, 2 Zr 2.80
3 Re 0.0018 0.0018 0.9981  2 Re 2.62, 2 Fe 2.66, 4 Zr 2.76
4 Re 0.7380 0.7380 0.7622  2 Re 2.62, 4 Fe 2.77, 2 Zr 2.81

# 2
The following is a PBE calculation of a geometry-optimized Zr2Fe3Re structure, from Alexandria via LeMat-Bulk.

Properties
- formation enthalpy at 0 K (kJ/mol of formula units) = -148
- total DFT energy (no corrections) (eV/cell) = -56.469

abc: 5.0349 5.0349 5.1018
angles: 89.96 119.54 120.07
Closest atoms and distances in Å follow each position.
Element x y z (fractional)
1 Fe 0.5000 0.5000 0.5000  4 Fe 2.51-2.52, 2 Re 2.55
2 Fe 0.0000 0.0000 0.5000  4 Fe 2.51-2.52, 2 Re 2.55
3 Fe 0.5000 0.0000 0.5000  4 Fe 2.52, 2 Re 2.55
4 Zr 0.7500 0.3750 0.1250  3 Re 2.95-2.96, 9 Fe 2.97-3.00, 4 Zr 3.09-3.15
5 Zr 0.2500 0.6250 0.8750  3 Re 2.95-2.96, 9 Fe 2.97-3.00, 4 Zr 3.09-3.15
6 Re 0.0000 0.0000 0.0000  6 Fe 2.55